The following is a meta-GGA SCAN calculation of RbTe2N2 at its PBEsol-relaxed geometry, from Alexandria.

The space group is P4/mmm (No. 123) and the conventional cell measures 4.535, 4.535 and 5.980 Å, with angles of 90.00, 90.00 and 90.00 degrees. The asymmetric unit holds Rb at (0.000, 0.000, 0.000), Te at (0.000, 0.500, 0.500), N at (0.500, 0.500, 0.000) and N at (0.500, 0.500, 0.500).

As for the uncorrected formation energy: 1.090 eV per atom. As for the spin magnetization: 3.80 μB per formula unit.